(1)
Entry from Alexandria via LeMat-Bulk: an optimized crystal structure of Sm2PuTc (PBE).

Values from the calculation:
As for the size of the total moment: 20.43 Bohr magnetons per cell. As for the energy above the most stable polymorph in this dataset: 0.000 eV/atom. The calculation puts the formation energy at -0.032 eV/atom.

Unit cell a=6.3605 b=7.1943 c=9.6685 alpha=90.00 beta=90.00 gamma=90.00
Closest atoms and distances in Å follow each position.
Fractional positions:
Sm 0.1740 0.6763 0.0650  3 Tc 3.09-3.24
Sm 0.3260 0.1763 0.4350  3 Tc 3.09-3.24
Sm 0.8260 0.3237 0.5650  3 Tc 3.09-3.24
Sm 0.6740 0.8237 0.9350  3 Tc 3.09-3.24
Sm 0.8260 0.3237 0.9350  3 Tc 3.09-3.24
Sm 0.6740 0.8237 0.5650  3 Tc 3.09-3.24
Sm 0.1740 0.6763 0.4350  3 Tc 3.09-3.24
Sm 0.3260 0.1763 0.0650  3 Tc 3.09-3.24
Pu 0.6590 0.5498 0.2500  2 Tc 2.46-2.49
Pu 0.8410 0.0498 0.2500  2 Tc 2.46-2.49
Pu 0.3410 0.4502 0.7500  2 Tc 2.46-2.49
Pu 0.1590 0.9502 0.7500  2 Tc 2.46-2.49
Tc 0.9910 0.3654 0.2500  2 Pu 2.46-2.49
Tc 0.5090 0.8654 0.2500  2 Pu 2.46-2.49
Tc 0.0090 0.6346 0.7500  2 Pu 2.46-2.49
Tc 0.4910 0.1346 0.7500  2 Pu 2.46-2.49

=====

(2)
Entry from Alexandria via LeMat-Bulk: an optimized crystal structure of Pm6GeTe3Se2 (PBE).

Values from the calculation:
The total energy is -5.660 eV/atom. As for the size of the total moment: 0.00 Bohr magnetons per cell.

Unit cell a=7.4550 b=7.4550 c=7.6843 alpha=99.29 beta=99.29 gamma=119.96
Closest atoms and distances in Å follow each position.
Fractional positions:
Pm 0.9268 0.6002 0.7793  1 Ge 2.92, 2 Se 2.98, 3 Te 3.19-3.24
Pm 0.7478 0.7478 0.2213  1 Ge 2.91, 2 Se 2.98, 3 Te 3.20-3.25
Pm 0.0732 0.3998 0.2207  1 Ge 2.92, 2 Se 2.98, 3 Te 3.19-3.24
Pm 0.6002 0.9268 0.7793  1 Ge 2.92, 2 Se 2.98, 3 Te 3.19-3.24
Pm 0.2522 0.2522 0.7787  1 Ge 2.91, 2 Se 2.98, 3 Te 3.20-3.25
Pm 0.3998 0.0732 0.2207  1 Ge 2.92, 2 Se 2.98, 3 Te 3.19-3.24
Ge 0.0000 0.0000 0.0000  6 Pm 2.91-2.92
Te 0.1682 0.8318 0.5000  6 Pm 3.19-3.24
Te 0.8318 0.1682 0.5000  6 Pm 3.19-3.24
Te 0.5000 0.5000 0.5000  6 Pm 3.19-3.25
Se 0.3337 0.6663 0.0000  6 Pm 2.98
Se 0.6663 0.3337 0.0000  6 Pm 2.98

=====

(3)
Entry from Alexandria via LeMat-Bulk: an optimized crystal structure of Y8TmSc3 (PBE).

Values from the calculation:
As for the size of the total moment: 0.00 Bohr magnetons per cell. The calculation puts the formation energy at 0.020 eV/atom.

Unit cell a=8.2852 b=8.2852 c=10.7088 alpha=130.25 beta=49.75 gamma=136.34
Closest atoms and distances in Å follow each position.
Fractional positions:
Y 0.8345 0.3399 0.5888  4 Sc 3.41-3.60, 7 Y 3.44-3.59, 1 Tm 3.46
Y 0.8344 0.3401 0.9168  4 Sc 3.41-3.60, 7 Y 3.44-3.59, 1 Tm 3.46
Y 0.7471 0.7473 0.6641  7 Y 3.44-3.62, 3 Sc 3.44-3.60, 2 Tm 3.50-3.59
Y 0.7473 0.7471 0.3359  7 Y 3.44-3.62, 3 Sc 3.44-3.60, 2 Tm 3.50-3.59
Y 0.2430 0.2431 0.1619  4 Sc 3.40-3.60, 7 Y 3.46-3.62, 1 Tm 3.62
Y 0.2431 0.2430 0.8381  4 Sc 3.40-3.60, 7 Y 3.46-3.62, 1 Tm 3.62
Y 0.3401 0.8344 0.0832  4 Sc 3.41-3.60, 7 Y 3.44-3.59, 1 Tm 3.46
Y 0.3399 0.8345 0.4112  4 Sc 3.41-3.60, 7 Y 3.44-3.59, 1 Tm 3.46
Tm 0.2558 0.2558 0.5000  2 Sc 3.42, 10 Y 3.46-3.62
Sc 0.8312 0.3283 0.2485  1 Sc 3.40, 10 Y 3.40-3.60, 1 Tm 3.42
Sc 0.7553 0.7553 0.0000  2 Sc 3.40, 10 Y 3.41-3.60
Sc 0.3283 0.8312 0.7515  1 Sc 3.40, 10 Y 3.40-3.60, 1 Tm 3.42

=====

(4)
Entry from Alexandria via LeMat-Bulk: an optimized crystal structure of YAl2Ag (PBE).

Values from the calculation:
As for the size of the total moment: 0.00 Bohr magnetons per cell. The calculation puts the formation energy at 0.031 eV/atom.

Unit cell a=4.6100 b=4.6100 c=9.6539 alpha=76.19 beta=76.19 gamma=90.00
Closest atoms and distances in Å follow each position.
Fractional positions:
Y 0.5000 0.5000 0.0000  4 Al 3.09, 4 Ag 3.26
Y 0.2500 0.7500 0.5000  4 Al 3.09, 4 Ag 3.26
Al 0.7533 0.1250 0.2500  2 Al 2.56, 2 Ag 2.61
Al 0.9967 0.6250 0.2500  2 Al 2.56, 2 Ag 2.61
Al 0.3750 0.2467 0.7500  2 Al 2.56, 2 Ag 2.61
Al 0.8750 0.0033 0.7500  2 Al 2.56, 2 Ag 2.61
Ag 0.0000 0.0000 0.0000  4 Al 2.61
Ag 0.7500 0.2500 0.5000  4 Al 2.61

=====

(5)
Entry from Alexandria via LeMat-Bulk: an optimized crystal structure of RbMgZn2Au (PBE).

Values from the calculation:
As for the size of the total moment: 0.00 Bohr magnetons per cell. The calculation puts the formation energy at -0.072 eV/atom.

Unit cell a=5.0985 b=5.0985 c=5.2228 alpha=90.00 beta=90.00 gamma=90.00
Closest atoms and distances in Å follow each position.
Fractional positions:
Zn 0.0000 0.5000 0.0000  2 Au 2.55
Zn 0.5000 0.0000 0.0000  2 Au 2.55
Au 0.0000 0.0000 0.0000  4 Zn 2.55, 2 Mg 2.61
Mg 0.0000 0.0000 0.5000  2 Au 2.61
Rb 0.5000 0.5000 0.5000  4 Mg 3.61, 8 Zn 3.65

=====

(6)
Entry from Alexandria via LeMat-Bulk: an optimized crystal structure of Sc4SbPb (PBE).

Values from the calculation:
As for the size of the total moment: 0.10 Bohr magnetons per cell. As for the energy above the most stable polymorph in this dataset: 0.367 eV/atom.

Unit cell a=5.9149 b=5.9149 c=5.9149 alpha=60.00 beta=60.00 gamma=60.00
Closest atoms and distances in Å follow each position.
Fractional positions:
Sc 0.8750 0.3750 0.3750  6 Sc 2.96
Sc 0.3750 0.3750 0.8750  6 Sc 2.96
Sc 0.3750 0.8750 0.3750  6 Sc 2.96
Sc 0.3750 0.3750 0.3750  6 Sc 2.96
Sb 0.0000 0.0000 0.0000  12 Sc 3.47, 4 Pb 3.62
Pb 0.7500 0.7500 0.7500  12 Sc 3.47, 4 Sb 3.62